(1)
## TiGa2Sn (PBE)

Data for a relaxed TiGa2Sn crystal.

Computed properties:
The value obtained for the magnetic moment is 0.00 μB/f.u. As for the space group: I-42d (122). The formation energy comes out at 0.0976 eV/atom.

Cell lengths 6.0704, 6.0704, 6.0704 Å; angles 102.32, 102.32, 124.98 degrees
Closest atoms and distances in Å follow each position.
Element x y z (fractional)
Ti  0.0000  0.0000  0.0000  4 Ga 2.73, 2 Sn 2.80
Ti  0.7500  0.2500  0.5000  4 Ga 2.73, 2 Sn 2.80
Ga  0.1149  0.1250  0.4899  2 Ti 2.73, 2 Ga 2.81, 2 Sn 2.83
Ga  0.3750  0.8851  0.0101  2 Ti 2.73, 2 Ga 2.81, 2 Sn 2.83
Ga  0.6351  0.6250  0.5101  2 Ti 2.73, 2 Ga 2.81, 2 Sn 2.83
Ga  0.8750  0.3649  0.9899  2 Ti 2.73, 2 Ga 2.81, 2 Sn 2.83
Sn  0.2500  0.7500  0.5000  2 Ti 2.80, 4 Ga 2.83
Sn  0.5000  0.5000  0.0000  2 Ti 2.80, 4 Ga 2.83

(2)
## BTeMo2 (PBE)

Data for a relaxed BTeMo2 crystal.

Computed properties:
The value obtained for the magnetic moment is 0.97 μB/f.u. Its energy above the most stable polymorph in this dataset is 3 meV/atom. The energy relative to the elements, uncorrected comes out at 68.7 kJ per mole of atoms. As for the space group: I-42d (122).

Cell lengths 7.2348, 7.2348, 7.2348 Å; angles 139.70, 139.70, 58.31 degrees
Closest atoms and distances in Å follow each position.
Element x y z (fractional)
B  0.0000  0.0000  0.0000  4 Mo 2.11
B  0.7500  0.2500  0.5000  4 Mo 2.11
Te  0.2500  0.7500  0.5000  4 Mo 2.75
Te  0.5000  0.5000  0.0000  4 Mo 2.75
Mo  0.0003  0.6250  0.8753  2 B 2.11
Mo  0.3750  0.2503  0.3753  2 B 2.11
Mo  0.7497  0.1250  0.1247  2 B 2.11
Mo  0.8750  0.9997  0.6247  2 B 2.11

(3)
## MgTaCu (PBE)

Data for a relaxed MgTaCu crystal.

Computed properties:
The value obtained for the magnetic moment is 0.00 μB/f.u. Its energy above the most stable polymorph in this dataset is 77 meV/atom. As for the space group: P1 (1). The formation energy comes out at 0.1593 eV/atom.

Cell lengths 2.9258, 5.1289, 7.4547 Å; angles 70.95, 78.79, 73.50 degrees
Closest atoms and distances in Å follow each position.
Element x y z (fractional)
Mg  0.0000  0.0000  0.0000  4 Cu 2.68-2.73, 3 Mg 2.88-2.93
Mg  0.3160  0.5496  0.8216  2 Cu 2.83-2.84, 5 Mg 2.88-3.02, 5 Ta 3.03-3.12
Ta  0.6492  0.1057  0.5969  2 Cu 2.73, 5 Ta 2.82-2.93
Ta  0.9715  0.6124  0.4481  4 Cu 2.71-2.74, 5 Ta 2.82-2.93, 2 Mg 3.03-3.04
Cu  0.3125  0.0927  0.2841  2 Cu 2.51-2.52, 2 Mg 2.68-2.69, 4 Ta 2.73-2.74
Cu  0.6594  0.5218  0.1583  2 Cu 2.51-2.52, 2 Ta 2.71-2.72, 2 Mg 2.73

(4)
## Dy2ErSc (PBE)

Data for a relaxed Dy2ErSc crystal.

Computed properties:
The value obtained for the magnetic moment is 0.00 μB/f.u. Its energy above the most stable polymorph in this dataset is 12 meV/atom. As for the space group: R-3m (166). The formation energy comes out at 0.0437 eV/atom.

Cell lengths 11.4013, 11.4013, 11.4013 Å; angles 17.54, 17.54, 17.54 degrees
Closest atoms and distances in Å follow each position.
Element x y z (fractional)
Dy  0.2473  0.2473  0.2473  3 Sc 3.38, 6 Dy 3.48, 3 Er 3.52
Dy  0.7527  0.7527  0.7527  3 Sc 3.38, 6 Dy 3.48, 3 Er 3.52
Er  0.0000  0.0000  0.0000  6 Er 3.48, 6 Dy 3.52
Sc  0.5000  0.5000  0.5000  6 Dy 3.38, 6 Sc 3.48

What did the third record say?
## MgTaCu (PBE)

Data for a relaxed MgTaCu crystal.

Computed properties:
The value obtained for the magnetic moment is 0.00 μB/f.u. Its energy above the most stable polymorph in this dataset is 77 meV/atom. As for the space group: P1 (1). The formation energy comes out at 0.1593 eV/atom.

Cell lengths 2.9258, 5.1289, 7.4547 Å; angles 70.95, 78.79, 73.50 degrees
Closest atoms and distances in Å follow each position.
Element x y z (fractional)
Mg  0.0000  0.0000  0.0000  4 Cu 2.68-2.73, 3 Mg 2.88-2.93
Mg  0.3160  0.5496  0.8216  2 Cu 2.83-2.84, 5 Mg 2.88-3.02, 5 Ta 3.03-3.12
Ta  0.6492  0.1057  0.5969  2 Cu 2.73, 5 Ta 2.82-2.93
Ta  0.9715  0.6124  0.4481  4 Cu 2.71-2.74, 5 Ta 2.82-2.93, 2 Mg 3.03-3.04
Cu  0.3125  0.0927  0.2841  2 Cu 2.51-2.52, 2 Mg 2.68-2.69, 4 Ta 2.73-2.74
Cu  0.6594  0.5218  0.1583  2 Cu 2.51-2.52, 2 Ta 2.71-2.72, 2 Mg 2.73